Material: Pu6VRh5
Method: DFT, PBE-GGA
State: optimized geometry

- Crystal system: triclinic
- E: -11.2290 eV/atom
- Density of states at the Fermi level: 48.81 states/eV/cell
- Total magnetic moment: 6.9 μB per formula unit
- Formation enthalpy at 0 K: -5.5 kcal/mol of atoms

a = 4.868 Å, b = 6.868 Å, c = 8.233 Å
α = 65.38°, β = 74.47°, γ = 89.25°
Sites, in units of the cell vectors:
Pu 0.008 0.246 0.485
Pu 0.358 0.569 0.854
Pu 0.366 0.068 0.841
Pu 0.634 0.932 0.159
Pu 0.642 0.431 0.146
Pu 0.992 0.754 0.515
V 0.500 0.500 0.500
Rh 0.102 0.661 0.202
Rh 0.106 0.153 0.171
Rh 0.500 0.000 0.500
Rh 0.894 0.847 0.829
Rh 0.898 0.339 0.798

***

Material: BiSb2Te
Method: DFT, PBE-GGA
State: optimized geometry

- Crystal system: cubic
- E: -3.6097 eV/atom
- Density of states at the Fermi level: 2.34 states/eV/cell
- ΔE_f (raw): 4.78 kcal/mol of atoms
- Total magnetic moment: 0.0 μB per formula unit

a = 5.446 Å, b = 5.446 Å, c = 5.446 Å
α = 60.00°, β = 60.00°, γ = 60.00°
Sites, in units of the cell vectors:
Bi 0.000 0.000 0.000
Sb 0.250 0.250 0.250
Sb 0.750 0.750 0.750
Te 0.500 0.500 0.500

***

Material: La8Cu3I4Cl
Method: DFT, PBE-GGA
State: optimized geometry

- Crystal system: trigonal
- E: -4.5020 eV/atom
- Density of states at the Fermi level: 14.77 states/eV/cell
- ΔE_f (raw): -17.69 kcal/mol of atoms
- Total magnetic moment: 0.0 μB per formula unit

a = 9.429 Å, b = 9.429 Å, c = 9.429 Å
α = 53.56°, β = 53.56°, γ = 53.56°
Sites, in units of the cell vectors:
La 0.231 0.231 0.231
La 0.239 0.733 0.733
La 0.267 0.267 0.761
La 0.267 0.761 0.267
La 0.733 0.239 0.733
La 0.733 0.733 0.239
La 0.761 0.267 0.267
La 0.769 0.769 0.769
Cu 0.000 0.000 0.500
Cu 0.000 0.500 0.000
Cu 0.500 0.000 0.000
I 0.000 0.000 0.000
I 0.000 0.500 0.500
I 0.500 0.000 0.500
I 0.500 0.500 0.000
Cl 0.500 0.500 0.500

***

Material: Nd6Dy3Y2
Method: DFT, PBE-GGA
State: optimized geometry

- Crystal system: tetragonal
- E: -4.7380 eV/atom
- Density of states at the Fermi level: 16.34 states/eV/cell
- Total magnetic moment: 0.0 μB per formula unit
- Formation enthalpy at 0 K: 6.8 kcal/mol of atoms

a = 17.447 Å, b = 17.447 Å, c = 17.447 Å
α = 164.30°, β = 164.30°, γ = 22.27°
Sites, in units of the cell vectors:
Nd 0.121 0.621 0.500
Nd 0.205 0.205 0.000
Nd 0.379 0.879 0.500
Nd 0.621 0.121 0.500
Nd 0.795 0.795 0.000
Nd 0.879 0.379 0.500
Dy 0.305 0.305 0.000
Dy 0.500 0.500 0.000
Dy 0.695 0.695 0.000
Y 0.045 0.045 0.000
Y 0.955 0.955 0.000

***

Material: HoTlAu4
Method: DFT, PBE-GGA
State: optimized geometry

- Crystal system: cubic
- E: -3.7057 eV/atom
- Density of states at the Fermi level: 1.54 states/eV/cell
- Total magnetic moment: 0.0 μB per formula unit
- Formation enthalpy at 0 K: -8.4 kcal/mol of atoms

a = 5.642 Å, b = 5.642 Å, c = 5.642 Å
α = 60.00°, β = 60.00°, γ = 60.00°
Sites, in units of the cell vectors:
Ho 0.000 0.000 0.000
Tl 0.750 0.750 0.750
Au 0.375 0.375 0.375
Au 0.375 0.375 0.875
Au 0.375 0.875 0.375
Au 0.875 0.375 0.375

***

Material: Ag5PtAu2
Method: DFT, PBE-GGA
State: optimized geometry

- Crystal system: orthorhombic
- E: -3.3674 eV/atom
- Density of states at the Fermi level: 6.14 states/eV/cell
- Total magnetic moment: 0.0 μB per formula unit
- Formation enthalpy at 0 K: -0.3 kcal/mol of atoms

a = 5.777 Å, b = 11.586 Å, c = 4.187 Å
α = 90.00°, β = 90.00°, γ = 90.00°
Sites, in units of the cell vectors:
Ag 0.000 0.000 0.000
Ag 0.008 0.251 0.000
Ag 0.245 0.875 0.500
Ag 0.255 0.375 0.500
Ag 0.492 0.751 0.000
Ag 0.500 0.500 0.000
Ag 0.508 0.249 0.000
Ag 0.745 0.625 0.500
Ag 0.755 0.125 0.500
Ag 0.992 0.749 0.000
Pt 0.000 0.500 0.000
Pt 0.500 0.000 0.000
Au 0.241 0.623 0.500
Au 0.259 0.123 0.500
Au 0.741 0.877 0.500
Au 0.759 0.377 0.500

***

Material: AcTbErAl
Method: DFT, PBE-GGA
State: optimized geometry

- Crystal system: cubic
- E: -4.1708 eV/atom
- Density of states at the Fermi level: 7.64 states/eV/cell
- Total magnetic moment: 0.0 μB per formula unit
- Formation enthalpy at 0 K: 2.1 kcal/mol of atoms

a = 5.501 Å, b = 5.501 Å, c = 5.501 Å
α = 60.00°, β = 60.00°, γ = 60.00°
Sites, in units of the cell vectors:
Ac 0.000 0.000 0.000
Tb 0.250 0.250 0.250
Er 0.750 0.750 0.750
Al 0.500 0.500 0.500

***

Material: La2Dy3Tm
Method: DFT, PBE-GGA
State: optimized geometry

- Crystal system: monoclinic
- E: -4.6181 eV/atom
- Density of states at the Fermi level: 18.75 states/eV/cell
- Total magnetic moment: 0.0 μB per formula unit
- Formation enthalpy at 0 K: 1.6 kcal/mol of atoms

a = 6.705 Å, b = 6.705 Å, c = 9.071 Å
α = 97.70°, β = 97.70°, γ = 95.32°
Sites, in units of the cell vectors:
La 0.124 0.625 0.875
La 0.375 0.876 0.625
La 0.625 0.124 0.375
La 0.876 0.375 0.125
Dy 0.167 0.334 0.500
Dy 0.334 0.167 0.000
Dy 0.416 0.584 0.250
Dy 0.584 0.416 0.750
Dy 0.666 0.833 0.000
Dy 0.833 0.666 0.500
Tm 0.083 0.917 0.250
Tm 0.917 0.083 0.750

***

Material: Sr2TlGaS5
Method: DFT, PBE-GGA
State: optimized geometry

- Crystal system: orthorhombic
- E: -4.4355 eV/atom
- ΔE_f (raw): -26.97 kcal/mol of atoms
- Total magnetic moment: 0.0 μB per formula unit

a = 9.595 Å, b = 9.595 Å, c = 11.956 Å
α = 90.00°, β = 90.00°, γ = 156.43°
Sites, in units of the cell vectors:
Sr 0.111 0.889 0.500
Sr 0.115 0.885 0.122
Sr 0.885 0.115 0.622
Sr 0.889 0.111 0.000
Tl 0.226 0.774 0.847
Tl 0.774 0.226 0.347
Ga 0.440 0.560 0.268
Ga 0.560 0.440 0.768
S 0.041 0.959 0.873
S 0.282 0.718 0.502
S 0.323 0.677 0.202
S 0.361 0.639 0.814
S 0.495 0.505 0.100
S 0.505 0.495 0.600
S 0.639 0.361 0.314
S 0.677 0.323 0.702
S 0.718 0.282 0.002
S 0.959 0.041 0.373

***

Material: Sr2IrPt
Method: DFT, PBE-GGA
State: optimized geometry

- Crystal system: tetragonal
- E: -4.6287 eV/atom
- Density of states at the Fermi level: 3.88 states/eV/cell
- Total magnetic moment: 0.0 μB per formula unit
- Formation enthalpy at 0 K: -1.4 kcal/mol of atoms

a = 3.647 Å, b = 3.647 Å, c = 8.703 Å
α = 90.00°, β = 90.00°, γ = 90.00°
Sites, in units of the cell vectors:
Sr 0.000 0.000 0.000
Sr 0.500 0.500 0.427
Ir 0.000 0.000 0.672
Pt 0.500 0.500 0.759

***

Material: Tb8Sm3Ho2
Method: DFT, PBE-GGA
State: optimized geometry

- Crystal system: monoclinic
- E: -4.4062 eV/atom
- Density of states at the Fermi level: 21.71 states/eV/cell
- Total magnetic moment: 0.0 μB per formula unit
- Formation enthalpy at 0 K: 5.5 kcal/mol of atoms

a = 10.759 Å, b = 10.759 Å, c = 5.658 Å
α = 90.04°, β = 90.04°, γ = 41.87°
Sites, in units of the cell vectors:
Tb 0.101 0.682 0.000
Tb 0.171 0.171 0.501
Tb 0.318 0.899 0.000
Tb 0.365 0.365 0.500
Tb 0.635 0.635 0.500
Tb 0.682 0.101 0.000
Tb 0.829 0.829 0.499
Tb 0.899 0.318 0.000
Sm 0.210 0.790 0.500
Sm 0.500 0.500 0.000
Sm 0.790 0.210 0.500
Ho 0.259 0.259 0.001
Ho 0.741 0.741 0.999

***

Material: BaTlHg2
Method: DFT, PBE-GGA
State: optimized geometry

- Crystal system: orthorhombic
- E: -1.4827 eV/atom
- Density of states at the Fermi level: 3.54 states/eV/cell
- Total magnetic moment: 0.0 μB per formula unit
- Formation enthalpy at 0 K: -6.0 kcal/mol of atoms

a = 4.143 Å, b = 4.171 Å, c = 7.488 Å
α = 90.00°, β = 90.00°, γ = 90.00°
Sites, in units of the cell vectors:
Ba 0.000 0.000 0.000
Tl 0.500 0.500 0.311
Hg 0.000 0.000 0.512
Hg 0.500 0.500 0.734